Entry from Alexandria via LeMat-Bulk: an optimized crystal structure of SmGd4Y (GGA-PBE).

Results
**Energy relative to the elements**: 242 meV per atom
**V**: 33.95 A^3/atom
**Magnetic moment**: 28.41 μB per formula unit
**Raw total energy**: -66.054 eV for the cell shown

a = 6.604 Å, b = 6.604 Å, c = 6.604 Å
α = 60.00°, β = 60.00°, γ = 60.00°
Fractional positions:
Gd 0.625 0.125 0.625
Gd 0.125 0.625 0.625
Gd 0.625 0.625 0.125
Gd 0.625 0.625 0.625
Y 0.000 0.000 0.000
Sm 0.250 0.250 0.250

---

Entry from Alexandria via LeMat-Bulk: an optimized crystal structure of SmGdYZn (GGA-PBE).

Results
**Energy relative to the elements**: 41 meV per atom
**V**: 27.52 A^3/atom
**Magnetic moment**: 7.68 μB per formula unit
**Raw total energy**: -26.374 eV for the cell shown

a = 5.379 Å, b = 5.379 Å, c = 5.379 Å
α = 60.00°, β = 60.00°, γ = 60.00°
Fractional positions:
Zn 0.000 0.000 0.000
Y 0.750 0.750 0.750
Gd 0.500 0.500 0.500
Sm 0.250 0.250 0.250

---

Entry from Alexandria via LeMat-Bulk: an optimized crystal structure of SmGdYZr (GGA-PBE).

Results
**Energy relative to the elements**: 213 meV per atom
**V**: 30.18 A^3/atom
**Magnetic moment**: 9.63 μB per formula unit
**Raw total energy**: -32.960 eV for the cell shown

a = 5.548 Å, b = 5.548 Å, c = 5.548 Å
α = 60.00°, β = 60.00°, γ = 60.00°
Fractional positions:
Sm 0.250 0.250 0.250
Zr 0.750 0.750 0.750
Gd 0.500 0.500 0.500
Y 0.000 0.000 0.000

---

Entry from Alexandria via LeMat-Bulk: an optimized crystal structure of SmGdZn (GGA-PBE).

Results
**Energy above the lowest structure with this stoichiometry**: 0.162 eV per atom
**Energy relative to the elements**: -52 meV per atom
**V**: 27.01 A^3/atom
**Magnetic moment**: 7.30 μB per formula unit
**Raw total energy**: -20.231 eV for the cell shown

a = 3.702 Å, b = 5.028 Å, c = 5.028 Å
α = 120.00°, β = 90.00°, γ = 90.00°
Fractional positions:
Gd 0.060 0.000 0.000
Sm 0.613 0.667 0.333
Zn 0.327 0.333 0.667

---

Entry from Alexandria via LeMat-Bulk: an optimized crystal structure of Sm2GdZn (GGA-PBE).

Results
**Energy above the lowest structure with this stoichiometry**: 0.112 eV per atom
**Energy relative to the elements**: -35 meV per atom
**V**: 29.87 A^3/atom
**Magnetic moment**: 7.26 μB per formula unit
**Raw total energy**: -24.933 eV for the cell shown

a = 3.623 Å, b = 3.623 Å, c = 10.718 Å
α = 80.27°, β = 80.27°, γ = 60.00°
Fractional positions:
Sm 0.261 0.261 0.218
Sm 0.739 0.739 0.782
Zn 0.000 0.000 0.000
Gd 0.500 0.500 0.500

---

Entry from Alexandria via LeMat-Bulk: an optimized crystal structure of SmGdZn2 (GGA-PBE).

Results
**Energy above the lowest structure with this stoichiometry**: 0.001 eV per atom
**Energy relative to the elements**: -336 meV per atom
**V**: 23.81 A^3/atom
**Magnetic moment**: 7.86 μB per formula unit
**Raw total energy**: -22.692 eV for the cell shown

a = 3.644 Å, b = 5.112 Å, c = 5.112 Å
α = 90.00°, β = 90.00°, γ = 90.00°
Fractional positions:
Zn 0.000 0.000 0.500
Zn 0.000 0.500 0.000
Sm 0.500 0.000 0.000
Gd 0.500 0.500 0.500

---

Entry from Alexandria via LeMat-Bulk: an optimized crystal structure of SmGdZn2 (GGA-PBE).

Results
**Energy above the lowest structure with this stoichiometry**: 0.000 eV per atom
**Energy relative to the elements**: -337 meV per atom
**V**: 23.81 A^3/atom
**Magnetic moment**: 7.94 μB per formula unit
**Raw total energy**: -22.694 eV for the cell shown

a = 5.126 Å, b = 5.126 Å, c = 5.126 Å
α = 60.00°, β = 60.00°, γ = 60.00°
Fractional positions:
Zn 0.250 0.250 0.250
Zn 0.750 0.750 0.750
Sm 0.500 0.500 0.500
Gd 0.000 0.000 0.000

---

Entry from Alexandria via LeMat-Bulk: an optimized crystal structure of Sm2GdZn (GGA-PBE).

Results
**Energy above the lowest structure with this stoichiometry**: 0.181 eV per atom
**Energy relative to the elements**: 34 meV per atom
**V**: 27.93 A^3/atom
**Magnetic moment**: 7.69 μB per formula unit
**Raw total energy**: -24.659 eV for the cell shown

a = 5.406 Å, b = 5.406 Å, c = 5.406 Å
α = 60.00°, β = 60.00°, γ = 60.00°
Fractional positions:
Zn 0.500 0.500 0.500
Sm 0.250 0.250 0.250
Sm 0.750 0.750 0.750
Gd 0.000 0.000 0.000

---

Entry from Alexandria via LeMat-Bulk: an optimized crystal structure of SmGdZn (GGA-PBE).

Results
**Energy above the lowest structure with this stoichiometry**: 0.000 eV per atom
**Energy relative to the elements**: -214 meV per atom
**V**: 27.10 A^3/atom
**Magnetic moment**: 7.70 μB per formula unit
**Raw total energy**: -20.717 eV for the cell shown

a = 3.637 Å, b = 3.637 Å, c = 6.664 Å
α = 105.84°, β = 105.84°, γ = 90.00°
Fractional positions:
Gd 0.022 0.022 0.044
Zn 0.665 0.665 0.331
Sm 0.312 0.312 0.625

---

Entry from Alexandria via LeMat-Bulk: an optimized crystal structure of Sm2GdZn (GGA-PBE).

Results
**Energy above the lowest structure with this stoichiometry**: 0.128 eV per atom
**Energy relative to the elements**: -19 meV per atom
**V**: 28.03 A^3/atom
**Magnetic moment**: 7.08 μB per formula unit
**Raw total energy**: -24.870 eV for the cell shown

a = 3.781 Å, b = 5.446 Å, c = 5.446 Å
α = 90.00°, β = 90.00°, γ = 90.00°
Fractional positions:
Zn 0.500 0.000 0.000
Sm 0.000 0.500 0.000
Sm 0.000 0.000 0.500
Gd 0.500 0.500 0.500

---

Entry from Alexandria via LeMat-Bulk: an optimized crystal structure of Sm2GdZn (GGA-PBE).

Results
**Energy above the lowest structure with this stoichiometry**: 0.000 eV per atom
**Energy relative to the elements**: -147 meV per atom
**V**: 28.73 A^3/atom
**Magnetic moment**: 7.33 μB per formula unit
**Raw total energy**: -25.383 eV for the cell shown

a = 3.632 Å, b = 3.632 Å, c = 8.710 Å
α = 90.00°, β = 90.00°, γ = 90.00°
Fractional positions:
Sm 0.000 0.000 0.792
Sm 0.000 0.000 0.208
Gd 0.500 0.500 0.500
Zn 0.500 0.500 0.000

---

Entry from Alexandria via LeMat-Bulk: an optimized crystal structure of SmGdZr (GGA-PBE).

Results
**Energy above the lowest structure with this stoichiometry**: 0.017 eV per atom
**Energy relative to the elements**: 116 meV per atom
**V**: 29.14 A^3/atom
**Magnetic moment**: 7.27 μB per formula unit
**Raw total energy**: -27.002 eV for the cell shown

a = 3.436 Å, b = 3.436 Å, c = 8.552 Å
α = 90.00°, β = 90.00°, γ = 120.00°
Fractional positions:
Zr 0.667 0.333 0.332
Gd 0.000 0.000 0.022
Sm 0.333 0.667 0.646